[1]
An optimized crystal structure of NdCu2Ge2, computed with PBE-GGA.

Lattice parameters (Å, degrees): 5.878 5.883 5.915 90.00 119.51 90.00
Space group C2/m (No. 12)
Symmetry-distinct sites (fractional):
1 Nd 0.000 0.000 0.000
2 Cu 0.000 0.248 0.500
3 Ge 0.122 0.500 0.246

Computed properties:
- calculated formation energy (eV/atom) = -0.540
- calculated volume (Å³/atom) = 17.80
- DOS at the Fermi energy (states/eV per cell) = 2.81
- magnetic moment (Bohr magnetons per cell) = 0.00

***

[2]
An optimized crystal structure of NiB2Pd, computed with PBE-GGA.

Lattice parameters (Å, degrees): 4.604 4.604 9.401 90.00 90.00 90.00
Space group I-42d (No. 122)
Symmetry-distinct sites (fractional):
1 Ni 0.000 0.000 0.000
2 B 0.221 0.250 0.125
3 Pd 0.000 0.000 0.500

Computed properties:
- calculated formation energy (eV/atom) = 0.498
- calculated volume (Å³/atom) = 12.46
- DOS at the Fermi energy (states/eV per cell) = 5.74
- magnetic moment (Bohr magnetons per cell) = 0.00
- energy relative to the lowest polymorph listed for this composition (kJ per mole of atoms) = 7.0